i:
Density functional theory data (GGA-PBE) for AgSb2Pd6 after structural relaxation.

## Properties
space-group type = P-1 (2)
ρ = 10.79 g/cm³
magnetization = 0.00 Bohr magnetons per cell

Unit cell a=4.8765 b=4.8763 c=8.3733 alpha=104.26 beta=75.77 gamma=127.27
With the nearest neighbours (Å) after each atom.
Sites, in units of the cell vectors:
Pd 0.3331 0.6651 0.0629  3 Sb 2.69-2.82, 8 Pd 2.80-3.01
Pd 0.3440 0.6544 0.4054  3 Ag 2.78-2.90, 4 Sb 2.80-3.07, 5 Pd 2.90-2.98
Pd 0.9964 0.0007 0.1707  3 Sb 2.69-2.88, 1 Ag 2.76, 7 Pd 2.83-3.01
Pd 0.6669 0.3349 0.9371  3 Sb 2.69-2.82, 8 Pd 2.80-3.01
Pd 0.0036 0.9993 0.8293  3 Sb 2.69-2.88, 1 Ag 2.76, 7 Pd 2.83-3.01
Pd 0.6560 0.3456 0.5946  3 Ag 2.78-2.90, 4 Sb 2.80-3.07, 5 Pd 2.90-2.98
Ag 0.0000 0.0000 0.5000  8 Pd 2.76-2.90, 2 Sb 3.09
Sb 0.6761 0.3199 0.2542  8 Pd 2.69-2.88
Sb 0.3239 0.6801 0.7458  8 Pd 2.69-2.88

ii:
Density functional theory data (GGA-PBE) for AgSb2Pd6 after structural relaxation.

## Properties
space-group type = C2/m (12)
ρ = 10.04 g/cm³
magnetization = 0.00 Bohr magnetons per cell

Unit cell a=4.5683 b=6.1727 c=6.1727 alpha=76.62 beta=101.48 gamma=101.48
With the nearest neighbours (Å) after each atom.
Sites, in units of the cell vectors:
Pd 0.4033 0.8459 0.8459  2 Ag 2.65-2.76, 2 Sb 2.73-2.91, 5 Pd 2.75-2.89
Pd 0.2993 0.7763 0.4035  5 Pd 2.75-2.85, 3 Sb 2.76-2.83, 1 Ag 2.79
Pd 0.2993 0.4035 0.7763  5 Pd 2.75-2.85, 3 Sb 2.76-2.83, 1 Ag 2.79
Pd 0.7007 0.5965 0.2237  5 Pd 2.75-2.85, 3 Sb 2.76-2.83, 1 Ag 2.79
Pd 0.5967 0.1541 0.1541  2 Ag 2.65-2.76, 2 Sb 2.73-2.91, 5 Pd 2.75-2.89
Pd 0.7007 0.2237 0.5965  5 Pd 2.75-2.85, 3 Sb 2.76-2.83, 1 Ag 2.79
Sb 0.8327 0.6698 0.6698  8 Pd 2.73-2.91
Sb 0.1673 0.3302 0.3302  8 Pd 2.73-2.91
Ag 0.0000 0.0000 0.0000  8 Pd 2.65-2.79

Pick the least stable structure from those above. Pick: ii